1.
Here is crystalline AcMgGe2 at its relaxed geometry from Alexandria via LeMat-Bulk. Energies are from PBE.

Summary:
Electronic total energy (eV per atom): -4.060
Crystal system: tetragonal
Energy relative to the elements (meV/atom): -326
Fermi-level density of states (states/eV per atom): 0.6468

Structure (POSCAR):
```
AcMgGe2
1.0
3.722 0.000 0.000
0.000 3.722 0.000
0.000 0.000 6.932
Ac Mg Ge
1 1 2
Direct
0.000 0.000 0.000 Ac
0.000 0.000 0.500 Mg
0.500 0.500 0.309 Ge
0.500 0.500 0.691 Ge
```

***

2.
Here is crystalline Dy11In9Rh4 at its relaxed geometry from Alexandria via LeMat-Bulk. Energies are from PBE.

Summary:
Electronic total energy (eV per atom): -5.036
Crystal system: orthorhombic
Energy relative to the elements (meV/atom): -675
Fermi-level density of states (states/eV per atom): 0.5356

Structure (POSCAR):
```
Dy11In9Rh4
1.0
7.283 -10.897 0.000
7.283 10.897 0.000
0.000 0.000 3.690
Dy In Rh
11 9 4
Direct
0.000 0.000 0.000 Dy
0.078 0.416 0.000 Dy
0.162 0.838 0.000 Dy
0.312 0.312 0.000 Dy
0.374 0.626 0.000 Dy
0.416 0.078 0.000 Dy
0.584 0.922 0.000 Dy
0.626 0.374 0.000 Dy
0.688 0.688 0.000 Dy
0.838 0.162 0.000 Dy
0.922 0.584 0.000 Dy
0.075 0.217 0.500 In
0.157 0.632 0.500 In
0.217 0.075 0.500 In
0.368 0.843 0.500 In
0.500 0.500 0.500 In
0.632 0.157 0.500 In
0.783 0.925 0.500 In
0.843 0.368 0.500 In
0.925 0.783 0.500 In
0.247 0.449 0.500 Rh
0.449 0.247 0.500 Rh
0.551 0.753 0.500 Rh
0.753 0.551 0.500 Rh
```